CePmTcIr: optimized geometry, PBE.

a b c (Å): 4.9411 4.9411 4.9411
angles (deg): 60.00 60.00 60.00
Closest atoms and distances in Å follow each position.
Positions (direct):
Ce 0.0000 0.0000 0.0000  4 Tc 3.03, 4 Ir 3.03
Pm 0.5000 0.5000 0.5000  4 Tc 3.03, 4 Ir 3.03
Tc 0.7500 0.7500 0.7500  4 Pm 3.03, 4 Ce 3.03
Ir 0.2500 0.2500 0.2500  4 Ce 3.03, 4 Pm 3.03

Results
The crystal system is cubic. The value obtained for the size of the total moment is 0.0 μB/f.u. Its formation energy is -242 meV/atom.